An optimized crystal structure of TlTc4O8, computed with PBE-GGA.

Results
Total magnetization: 0.0 μB/f.u.
Volume: 11.50 Å³/atom
Electronic total energy: -7.662 eV per atom
Uncorrected formation energy: -1.24 eV per atom

Unit cell a=14.5386 b=2.8283 c=10.2777 alpha=90.00 beta=134.96 gamma=90.00
Closest atoms and distances in Å follow each position.
Space group C2/m (No. 12)
Unique sites:
Tl: 0.0000 0.0000 0.0000 x2  8 O 2.70, 2 Tl 2.83
Tc: 0.1664 0.0000 0.4893 x4  6 O 2.02-2.09
Tc: 0.1771 0.5000 0.8436 x4  6 O 2.02-2.09
O: 0.0360 0.0000 0.7026 x4  3 Tc 2.03-2.08
O: 0.1372 0.5000 0.3134 x4  3 Tc 2.02-2.09
O: 0.1661 0.5000 0.6301 x4  3 Tc 2.03-2.08
O: 0.1765 0.5000 0.0397 x4  3 Tc 2.02-2.09


An optimized crystal structure of TlCr2Cu2, computed with PBE-GGA.

Results
Total magnetization: 0.8 μB/f.u.
Volume: 15.52 Å³/atom
Electronic total energy: -5.235 eV per atom
ΔE_f: 3.630 eV/f.u.

Unit cell a=3.8129 b=3.8129 c=10.6770 alpha=90.00 beta=90.00 gamma=90.00
Closest atoms and distances in Å follow each position.
Space group I4/mmm (No. 139)
Unique sites:
Tl: 0.0000 0.0000 0.0000 x2  8 Cr 2.86
Cr: 0.0000 0.0000 0.4098 x4  1 Cr 1.93
Cu: 0.0000 0.5000 0.2500 x4  4 Cr 2.56, 4 Cu 2.70


An optimized crystal structure of CeGe2Mo, computed with PBE-GGA.

Results
Total magnetization: 0.0 μB/f.u.
Volume: 20.88 Å³/atom
Electronic total energy: -6.765 eV per atom
E above lowest polymorph: 0.0219 eV per atom
ΔE_f: -1.059 eV/f.u.

Unit cell a=3.8661 b=3.8661 c=19.3479 alpha=90.00 beta=90.00 gamma=120.00
Closest atoms and distances in Å follow each position.
Space group R-3m (No. 166, hexagonal axes)
Unique sites:
Ce: 0.0000 0.0000 0.0000 x3  6 Ge 2.93
Ge: 0.0000 0.0000 0.2354 x6  3 Mo 2.60
Mo: 0.0000 0.0000 0.5000 x3  6 Ge 2.60


An optimized crystal structure of TbPr2Sm2Y4, computed with PBE-GGA.

Results
Total magnetization: 0.0 μB/f.u.
Volume: 33.50 Å³/atom
Electronic total energy: -5.499 eV per atom
ΔE_f: -0.009 eV/f.u.

Unit cell a=18.9273 b=3.6468 c=9.6966 alpha=90.00 beta=115.72 gamma=90.00
Closest atoms and distances in Å follow each position.
Space group C2/m (No. 12)
Unique sites:
Tb: 0.0000 0.0000 0.0000 x2  6 Y 3.59-3.60, 4 Pr 3.62, 2 Tb 3.65
Pr: 0.1651 0.5000 0.9994 x4  3 Y 3.58-3.61, 2 Tb 3.62, 3 Sm 3.62-3.63, 4 Pr 3.65-3.69
Sm: 0.1476 0.0000 0.6634 x4  7 Y 3.55-3.66, 3 Pr 3.62-3.63, 2 Sm 3.65
Y: 0.0194 0.5000 0.3335 x4  4 Sm 3.57-3.66, 1 Pr 3.58, 2 Tb 3.59, 5 Y 3.61-3.65
Y: 0.1850 0.0000 0.3353 x4  3 Sm 3.55-3.65, 6 Y 3.57-3.65, 1 Tb 3.60, 2 Pr 3.61


An optimized crystal structure of BaSr6Li6, computed with PBE-GGA.

Results
Total magnetization: 0.0 μB/f.u.
Volume: 40.42 Å³/atom
Electronic total energy: -1.755 eV per atom
ΔE_f: 0.678 eV/f.u.

Unit cell a=6.9944 b=12.2529 c=12.2631 alpha=90.00 beta=90.00 gamma=90.00
Closest atoms and distances in Å follow each position.
Space group Immm (No. 71)
Unique sites:
Ba: 0.0000 0.0000 0.0000 x2  8 Sr 4.11-4.20, 4 Li 4.52
Sr: 0.0000 0.0000 0.3351 x4  6 Li 3.68-3.71, 1 Sr 4.04, 1 Ba 4.11
Sr: 0.0000 0.3216 0.5000 x4  6 Li 3.60-3.64
Sr: 0.0000 0.3426 0.0000 x4  6 Li 3.71-3.80, 3 Sr 3.86-4.03
Li: 0.0000 0.5000 0.2671 x4  4 Li 3.53, 6 Sr 3.60-3.80
Li: 0.2500 0.2500 0.2500 x8  4 Li 3.50-3.53, 6 Sr 3.64-3.71


An optimized crystal structure of AlCrSe2, computed with PBE-GGA.

Results
Total magnetization: 0.9 μB/f.u.
Volume: 23.14 Å³/atom
Electronic total energy: -5.256 eV per atom
E above lowest polymorph: 0.2119 eV per atom
Uncorrected formation energy: -0.17 eV per atom

Unit cell a=9.2618 b=3.0450 c=6.9502 alpha=90.00 beta=109.20 gamma=90.00
Closest atoms and distances in Å follow each position.
Space group Cm (No. 8)
Unique sites:
Al: 0.0000 0.0000 0.0000 x2  3 Cr 2.54-2.60, 4 Se 2.75-2.78
Cr: 0.2350 0.5000 0.0328 x2  4 Se 2.41-2.43, 3 Al 2.54-2.60
Se: 0.2566 0.0000 0.7713 x2  2 Cr 2.43
Se: 0.4042 0.0000 0.2704 x2  2 Cr 2.41


An optimized crystal structure of TaGe3N, computed with PBE-GGA.

Results
Total magnetization: 0.0 μB/f.u.
Volume: 15.29 Å³/atom
Electronic total energy: -6.083 eV per atom
E above lowest polymorph: 0.0000 eV per atom
Uncorrected formation energy: 0.72 eV per atom

Unit cell a=4.2443 b=4.2443 c=4.2443 alpha=90.00 beta=90.00 gamma=90.00
Closest atoms and distances in Å follow each position.
Space group Pm-3m (No. 221)
Unique sites:
Ta: 0.0000 0.0000 0.0000 x1  12 Ge 3.00
Ge: 0.0000 0.5000 0.5000 x3  2 N 2.12
N: 0.5000 0.5000 0.5000 x1  6 Ge 2.12


An optimized crystal structure of TbPr2Hg2Pb2, computed with PBE-GGA.

Results
Total magnetization: 0.0 μB/f.u.
Volume: 29.90 Å³/atom
Electronic total energy: -3.416 eV per atom
ΔE_f: -1.704 eV/f.u.

Unit cell a=5.1218 b=5.1218 c=27.6391 alpha=90.00 beta=90.00 gamma=120.00
Closest atoms and distances in Å follow each position.
Space group R-3m (No. 166, hexagonal axes)
Unique sites:
Tb: 0.0000 0.0000 0.0000 x3  6 Pb 3.34, 2 Pr 3.58
Pr: 0.0000 0.0000 0.1297 x6  3 Hg 3.10
Hg: 0.0000 0.0000 0.4293 x6  3 Pr 3.10, 3 Pb 3.16
Pb: 0.0000 0.0000 0.2772 x6  3 Hg 3.16, 3 Tb 3.34


An optimized crystal structure of GdScTlCd, computed with PBE-GGA.

Results
Total magnetization: 7.9 μB/f.u.
Volume: 25.08 Å³/atom
Electronic total energy: -6.246 eV per atom
ΔE_f: -1.290 eV/f.u.

Unit cell a=7.3763 b=7.3763 c=7.3763 alpha=90.00 beta=90.00 gamma=90.00
Closest atoms and distances in Å follow each position.
Space group F-43m (No. 216)
Unique sites:
Gd: 0.0000 0.0000 0.0000 x4  4 Cd 3.19, 4 Tl 3.19
Sc: 0.0000 0.0000 0.5000 x4  4 Cd 3.19, 4 Tl 3.19
Tl: 0.2500 0.2500 0.7500 x4  4 Gd 3.19, 4 Sc 3.19
Cd: 0.2500 0.2500 0.2500 x4  4 Gd 3.19, 4 Sc 3.19


An optimized crystal structure of ScCu3Se3, computed with PBE-GGA.

Results
Total magnetization: 0.0 μB/f.u.
Volume: 18.81 Å³/atom
Electronic total energy: -4.818 eV per atom
Uncorrected formation energy: -0.66 eV per atom

Unit cell a=6.8705 b=6.8705 c=19.3227 alpha=90.00 beta=90.00 gamma=120.00
Closest atoms and distances in Å follow each position.
Space group R-3 (No. 148, hexagonal axes)
Unique sites:
Sc: 0.0000 0.0000 0.1672 x6  6 Se 2.74-2.76
Cu: 0.0021 0.6504 0.3728 x18  4 Se 2.42-2.54
Se: 0.0007 0.3271 0.4228 x18  4 Cu 2.42-2.54


An optimized crystal structure of RbPdSe2, computed with PBE-GGA.

Results
Total magnetization: 0.3 μB/f.u.
Volume: 37.95 Å³/atom
Electronic total energy: -3.835 eV per atom
Uncorrected formation energy: -0.55 eV per atom

Unit cell a=6.1107 b=13.4033 c=7.4137 alpha=90.00 beta=90.00 gamma=90.00
Closest atoms and distances in Å follow each position.
Space group Cmcm (No. 63)
Unique sites:
Rb: 0.0000 0.1574 0.2500 x4  6 Se 3.52-3.61, 2 Pd 3.72
Pd: 0.0000 0.4992 0.2500 x4  4 Se 2.45-2.46
Se: 0.0000 0.3803 0.5005 x8  2 Pd 2.45-2.46


An optimized crystal structure of PuSc2Cd, computed with PBE-GGA.

Results
Total magnetization: 6.4 μB/f.u.
Volume: 23.15 Å³/atom
Electronic total energy: -6.989 eV per atom
E above lowest polymorph: 0.0545 eV per atom
ΔE_f: -0.047 eV/f.u.

Unit cell a=5.1912 b=5.1912 c=3.4368 alpha=90.00 beta=90.00 gamma=90.00
Closest atoms and distances in Å follow each position.
Space group P4/mmm (No. 123)
Unique sites:
Pu: 0.0000 0.0000 0.0000 x1  8 Sc 3.11, 2 Pu 3.44
Sc: 0.0000 0.5000 0.5000 x2  4 Cd 3.11, 4 Pu 3.11, 2 Sc 3.44
Cd: 0.5000 0.5000 0.0000 x1  8 Sc 3.11, 2 Cd 3.44


An optimized crystal structure of TbGdRh4, computed with PBE-GGA.

Results
Total magnetization: 7.0 μB/f.u.
Volume: 18.08 Å³/atom
Electronic total energy: -8.746 eV per atom
ΔE_f: -4.362 eV/f.u.

Unit cell a=7.5708 b=7.5708 c=7.5708 alpha=90.00 beta=90.00 gamma=90.00
Closest atoms and distances in Å follow each position.
Space group F-43m (No. 216)
Unique sites:
Tb: 0.0000 0.0000 0.0000 x4  12 Rh 3.14, 4 Gd 3.28
Gd: 0.2500 0.2500 0.7500 x4  12 Rh 3.14, 4 Tb 3.28
Rh: 0.1251 0.1251 0.3749 x16  6 Rh 2.68


An optimized crystal structure of SmY5Ho2Tm, computed with PBE-GGA.

Results
Total magnetization: 0.0 μB/f.u.
Volume: 32.88 Å³/atom
Electronic total energy: -5.475 eV per atom
ΔE_f: 1.390 eV/f.u.

Unit cell a=5.6064 b=20.1130 c=10.4979 alpha=90.00 beta=90.00 gamma=90.00
Closest atoms and distances in Å follow each position.
Space group Cmc2_1 (No. 36)
Unique sites:
Sm: 0.0000 0.1964 0.0000 x4  2 Ho 3.38-3.61, 6 Y 3.45-3.62, 2 Tm 3.61
Y: 0.0000 0.0163 0.0083 x4  2 Tm 3.24, 3 Ho 3.36-3.54, 2 Y 3.61, 1 Sm 3.62
Y: 0.0000 0.2780 0.3004 x4  1 Tm 3.06, 1 Ho 3.33, 2 Y 3.43
Y: 0.0000 0.3014 0.6909 x4  4 Y 3.43-3.78, 2 Sm 3.45, 1 Tm 3.45, 2 Ho 3.50
Y: 0.0000 0.3877 0.0104 x4  6 Y 3.49-3.81, 4 Ho 3.55-3.58, 1 Sm 3.85
Y: 0.0000 0.4794 0.7244 x4  2 Tm 3.14-3.29, 2 Ho 3.46, 1 Y 3.49
Ho: 0.0000 0.1105 0.7229 x4  1 Sm 3.38, 6 Y 3.40-3.68, 2 Tm 3.63
Ho: 0.0000 0.1123 0.3037 x4  9 Y 3.33-3.65, 1 Sm 3.61
Tm: 0.0000 0.4118 0.4390 x4  5 Y 3.06-3.29


An optimized crystal structure of InGe2Mo2, computed with PBE-GGA.

Results
Total magnetization: 0.0 μB/f.u.
Volume: 16.92 Å³/atom
Electronic total energy: -6.493 eV per atom
E above lowest polymorph: 0.1401 eV per atom
ΔE_f: 1.171 eV/f.u.

Unit cell a=7.3595 b=7.3595 c=3.1241 alpha=90.00 beta=90.00 gamma=90.00
Closest atoms and distances in Å follow each position.
Space group P4/mbm (No. 127)
Unique sites:
In: 0.0000 0.0000 0.0000 x2  4 Ge 2.84, 2 In 3.12
Ge: 0.1398 0.3602 0.0000 x4  6 Mo 2.65-2.68, 2 In 2.84, 1 Ge 2.91
Mo: 0.1515 0.6515 0.5000 x4  6 Ge 2.65-2.68


An optimized crystal structure of CaMg3Ga, computed with PBE-GGA.

Results
Total magnetization: 0.0 μB/f.u.
Volume: 43.47 Å³/atom
Electronic total energy: -1.005 eV per atom
E above lowest polymorph: 1.1492 eV per atom
ΔE_f: 4.786 eV/f.u.

Unit cell a=6.0126 b=6.0126 c=6.0126 alpha=90.00 beta=90.00 gamma=90.00
Closest atoms and distances in Å follow each position.
Space group Pm-3m (No. 221)
Unique sites:
Ca: 0.0000 0.0000 0.0000 x1  6 Mg 3.01
Mg: 0.0000 0.0000 0.5000 x3  2 Ca 3.01
Ga: 0.5000 0.5000 0.5000 x1  12 Mg 4.25


An optimized crystal structure of SmAl2Hg, computed with PBE-GGA.

Results
Total magnetization: 0.0 μB/f.u.
Volume: 22.28 Å³/atom
Electronic total energy: -3.183 eV per atom
E above lowest polymorph: 0.2824 eV per atom
ΔE_f: -0.226 eV/f.u.

Unit cell a=5.1577 b=5.1577 c=11.6055 alpha=90.00 beta=90.00 gamma=120.00
Closest atoms and distances in Å follow each position.
Space group R-3m (No. 166, hexagonal axes)
Unique sites:
Sm: 0.0000 0.0000 0.0000 x3  8 Al 3.02-3.10
Al: 0.0000 0.0000 0.2600 x6  1 Hg 2.79, 4 Sm 3.02-3.10
Hg: 0.0000 0.0000 0.5000 x3  2 Al 2.79


An optimized crystal structure of CsK5Au2, computed with PBE-GGA.

Results
Total magnetization: 0.0 μB/f.u.
Volume: 50.40 Å³/atom
Electronic total energy: -1.766 eV per atom
ΔE_f: -1.235 eV/f.u.

Unit cell a=5.5258 b=10.6648 c=13.6837 alpha=90.00 beta=90.00 gamma=90.00
Closest atoms and distances in Å follow each position.
Space group Immm (No. 71)
Unique sites:
Cs: 0.0000 0.0000 0.0000 x2  4 Au 4.38
K: 0.0000 0.1874 0.3305 x8  3 Au 3.50-3.59, 2 K 3.78
K: 0.0000 0.5000 0.0000 x2  2 Au 3.44
Au: 0.0000 0.5000 0.2518 x4  7 K 3.44-3.59


An optimized crystal structure of LaHo2RhN4, computed with PBE-GGA.

Results
Total magnetization: 0.0 μB/f.u.
Volume: 14.68 Å³/atom
Electronic total energy: -7.850 eV per atom
Uncorrected formation energy: -1.01 eV per atom

Unit cell a=3.4442 b=11.8221 c=11.5400 alpha=90.00 beta=90.00 gamma=90.00
Closest atoms and distances in Å follow each position.
Space group Cmcm (No. 63)
Unique sites:
La: 0.0000 0.1113 0.2500 x4  6 N 2.60-2.66
Ho: 0.0000 0.3702 0.0449 x8  6 N 2.29-2.56
Rh: 0.0000 0.1498 0.7500 x4  4 N 2.03-2.07
N: 0.0000 0.0000 0.0000 x4  4 Ho 2.36
N: 0.0000 0.2694 0.6243 x8  1 Rh 2.03
N: 0.0000 0.4470 0.2500 x4  2 Rh 2.07


An optimized crystal structure of Cs2ZrPbO4, computed with PBE-GGA.

Results
Total magnetization: 0.0 μB/f.u.
Volume: 24.54 Å³/atom
Electronic total energy: -6.252 eV per atom
Uncorrected formation energy: -2.03 eV per atom

Unit cell a=6.5515 b=8.4484 c=7.0945 alpha=90.00 beta=90.00 gamma=90.00
Closest atoms and distances in Å follow each position.
Space group Pmmn (No. 59, origin choice 2)
Unique sites:
Cs: 0.2500 0.0077 0.2215 x4  7 O 3.01-3.33
Zr: 0.2500 0.7500 0.6521 x2  4 O 1.97-2.02
Pb: 0.2500 0.2500 0.7249 x2  2 O 2.22
O: 0.0011 0.2500 0.5124 x4  1 Zr 2.02, 1 Pb 2.22
O: 0.2500 0.5538 0.8032 x4  1 Zr 1.97